Entry 1:
This record from the Alexandria database describes a relaxed structure of AcAs2Ir. The functional is GGA-PBE.

Cell lengths 6.334, 6.334, 6.334 Å; angles 38.45, 38.45, 38.45 degrees
Fractional coordinates of all 4 atoms:
1 Ac 0.000 0.000 0.000
2 As 0.222 0.222 0.222
3 As 0.778 0.778 0.778
4 Ir 0.500 0.500 0.500

## Properties
The calculation puts the energy relative to the elements at -3.363 eV/f.u. The calculation puts the energy above the lowest structure with this stoichiometry at 55 meV per atom. As for the volume: 88.28 Å³/cell.

---

Entry 2:
This record from the Alexandria database describes a relaxed structure of Ac2As4Ir5. The functional is GGA-PBE.

Cell lengths 9.183, 8.115, 5.873 Å; angles 80.32, 60.59, 39.09 degrees
Fractional coordinates of all 11 atoms:
1 Ac 0.131 0.131 0.869
2 Ac 0.869 0.869 0.131
3 As 0.210 0.537 0.463
4 As 0.463 0.790 0.210
5 As 0.537 0.210 0.790
6 As 0.790 0.463 0.537
7 Ir 0.000 0.000 0.500
8 Ir 0.250 0.250 0.250
9 Ir 0.500 0.500 0.000
10 Ir 0.500 0.500 0.500
11 Ir 0.750 0.750 0.750

## Properties
The calculation puts the energy relative to the elements at -5.965 eV/f.u. As for the volume: 221.62 Å³/cell.

---

Entry 3:
This record from the Alexandria database describes a relaxed structure of AcAs2Ir. The functional is GGA-PBE.

Cell lengths 5.948, 5.948, 5.948 Å; angles 137.11, 137.11, 62.27 degrees
Fractional coordinates of all 4 atoms:
1 Ac 0.000 0.000 0.000
2 As 0.362 0.362 0.000
3 As 0.638 0.638 0.000
4 Ir 0.250 0.750 0.500

## Properties
The calculation puts the energy relative to the elements at -3.155 eV/f.u. The calculation puts the energy above the lowest structure with this stoichiometry at 108 meV per atom. As for the volume: 96.29 Å³/cell.

---

Entry 4:
This record from the Alexandria database describes a relaxed structure of LiAcAs2Ir. The functional is GGA-PBE.

Cell lengths 6.177, 6.177, 6.177 Å; angles 139.00, 139.00, 59.38 degrees
Fractional coordinates of all 5 atoms:
1 Li 0.000 0.000 0.000
2 Ac 0.750 0.250 0.500
3 As 0.120 0.620 0.500
4 As 0.380 0.880 0.500
5 Ir 0.500 0.500 0.000

## Properties
The calculation puts the energy relative to the elements at -4.212 eV/f.u. As for the volume: 100.44 Å³/cell.

---

Entry 5:
This record from the Alexandria database describes a relaxed structure of Ac2MnAs4Ir3. The functional is GGA-PBE.

Cell lengths 4.435, 4.435, 10.159 Å; angles 90.00, 90.00, 90.00 degrees
Fractional coordinates of all 10 atoms:
1 Ac 0.000 0.500 0.244
2 Ac 0.500 0.000 0.756
3 Mn 0.000 0.000 0.500
4 As 0.000 0.000 0.000
5 As 0.000 0.500 0.633
6 As 0.500 0.000 0.367
7 As 0.500 0.500 0.000
8 Ir 0.000 0.500 0.885
9 Ir 0.500 0.000 0.115
10 Ir 0.500 0.500 0.500

## Properties
The calculation puts the energy relative to the elements at -7.276 eV/f.u. As for the volume: 199.87 Å³/cell.

---

Entry 6:
This record from the Alexandria database describes a relaxed structure of Ac2Ni4As3Ir. The functional is GGA-PBE.

Cell lengths 4.269, 4.269, 9.950 Å; angles 90.00, 90.00, 90.00 degrees
Fractional coordinates of all 10 atoms:
1 Ac 0.000 0.500 0.249
2 Ac 0.500 0.000 0.751
3 Ni 0.000 0.000 0.000
4 Ni 0.000 0.500 0.630
5 Ni 0.500 0.000 0.370
6 Ni 0.500 0.500 0.000
7 As 0.000 0.500 0.878
8 As 0.500 0.000 0.122
9 As 0.500 0.500 0.500
10 Ir 0.000 0.000 0.500

## Properties
The calculation puts the energy relative to the elements at -6.176 eV/f.u. As for the volume: 181.35 Å³/cell.

---

Entry 7:
This record from the Alexandria database describes a relaxed structure of Ac2NpAs3Ir4. The functional is GGA-PBE.

Cell lengths 4.268, 4.268, 11.434 Å; angles 90.00, 90.00, 90.00 degrees
Fractional coordinates of all 10 atoms:
1 Ac 0.000 0.500 0.234
2 Ac 0.500 0.000 0.766
3 Np 0.000 0.000 0.500
4 As 0.000 0.500 0.875
5 As 0.500 0.000 0.125
6 As 0.500 0.500 0.500
7 Ir 0.000 0.000 0.000
8 Ir 0.000 0.500 0.653
9 Ir 0.500 0.000 0.347
10 Ir 0.500 0.500 0.000

## Properties
The calculation puts the energy relative to the elements at -6.483 eV/f.u. As for the volume: 208.31 Å³/cell.

---

Entry 8:
This record from the Alexandria database describes a relaxed structure of Ac2AsP3Ir4. The functional is GGA-PBE.

Cell lengths 4.304, 4.304, 9.926 Å; angles 90.00, 90.00, 90.00 degrees
Fractional coordinates of all 10 atoms:
1 Ac 0.000 0.500 0.247
2 Ac 0.500 0.000 0.753
3 As 0.500 0.500 0.000
4 P 0.000 0.000 0.000
5 P 0.000 0.500 0.636
6 P 0.500 0.000 0.364
7 Ir 0.000 0.000 0.500
8 Ir 0.000 0.500 0.881
9 Ir 0.500 0.000 0.119
10 Ir 0.500 0.500 0.500

## Properties
The calculation puts the energy relative to the elements at -8.443 eV/f.u. As for the volume: 183.91 Å³/cell.

---

Entry 9:
This record from the Alexandria database describes a relaxed structure of AcAsPIr6. The functional is GGA-PBE.

Cell lengths 7.954, 7.954, 7.954 Å; angles 123.76, 116.87, 89.56 degrees
Fractional coordinates of all 18 atoms:
1 Ac 0.404 0.154 0.250
2 Ac 0.596 0.846 0.750
3 As 0.000 0.000 0.500
4 As 0.000 0.500 0.000
5 P 0.000 0.500 0.500
6 P 0.500 0.500 0.000
7 Ir 0.106 0.388 0.246
8 Ir 0.106 0.860 0.719
9 Ir 0.135 0.885 0.250
10 Ir 0.334 0.584 0.750
11 Ir 0.358 0.140 0.746
12 Ir 0.358 0.612 0.219
13 Ir 0.642 0.388 0.781
14 Ir 0.642 0.860 0.254
15 Ir 0.666 0.416 0.250
16 Ir 0.865 0.115 0.750
17 Ir 0.894 0.140 0.281
18 Ir 0.894 0.612 0.754

## Properties
The calculation puts the energy relative to the elements at 0.912 eV/f.u. As for the volume: 352.43 Å³/cell.

---

Entry 10:
This record from the Alexandria database describes a relaxed structure of AcAsPIr3. The functional is GGA-PBE.

Cell lengths 7.977, 7.977, 5.774 Å; angles 90.00, 90.00, 137.61 degrees
Fractional coordinates of all 12 atoms:
1 Ac 0.202 0.798 0.750
2 Ac 0.798 0.202 0.250
3 As 0.095 0.905 0.250
4 As 0.905 0.095 0.750
5 P 0.416 0.584 0.250
6 P 0.584 0.416 0.750
7 Ir 0.254 0.254 0.000
8 Ir 0.254 0.254 0.500
9 Ir 0.261 0.739 0.250
10 Ir 0.739 0.261 0.750
11 Ir 0.746 0.746 0.000
12 Ir 0.746 0.746 0.500

## Properties
The calculation puts the energy relative to the elements at -3.886 eV/f.u. As for the volume: 247.66 Å³/cell.

---

Entry 11:
This record from the Alexandria database describes a relaxed structure of Ac2As3PIr4. The functional is GGA-PBE.

Cell lengths 4.390, 4.390, 10.050 Å; angles 90.00, 90.00, 90.00 degrees
Fractional coordinates of all 10 atoms:
1 Ac 0.000 0.500 0.241
2 Ac 0.500 0.000 0.759
3 As 0.000 0.000 0.000
4 As 0.000 0.500 0.639
5 As 0.500 0.000 0.361
6 P 0.500 0.500 0.000
7 Ir 0.000 0.000 0.500
8 Ir 0.000 0.500 0.893
9 Ir 0.500 0.000 0.107
10 Ir 0.500 0.500 0.500

## Properties
The calculation puts the energy relative to the elements at -7.880 eV/f.u. As for the volume: 193.67 Å³/cell.

---

Entry 12:
This record from the Alexandria database describes a relaxed structure of Ac2PaAs3Ir4. The functional is GGA-PBE.

Cell lengths 4.299, 4.299, 11.400 Å; angles 90.00, 90.00, 90.00 degrees
Fractional coordinates of all 10 atoms:
1 Ac 0.000 0.500 0.230
2 Ac 0.500 0.000 0.770
3 Pa 0.000 0.000 0.500
4 As 0.000 0.500 0.874
5 As 0.500 0.000 0.126
6 As 0.500 0.500 0.500
7 Ir 0.000 0.000 0.000
8 Ir 0.000 0.500 0.651
9 Ir 0.500 0.000 0.349
10 Ir 0.500 0.500 0.000

## Properties
The calculation puts the energy relative to the elements at -7.281 eV/f.u. As for the volume: 210.71 Å³/cell.

---

Q: Which of these has the lowest energy relative to the elements?
A: Ac2AsP3Ir4